1.
PtWI2N PBE-GGA optimized geometry; space-group type = P4/mmm (123); uncorrected energy = -5.25 eV per atom
1.0
5.463 0.000 0.000
0.000 5.463 0.000
0.000 0.000 3.797
Pt W I N
1 1 2 1
direct
0.000 0.000 0.000 Pt
0.500 0.500 0.500 W
0.000 0.500 0.500 I
0.500 0.000 0.500 I
0.500 0.500 0.000 N

---

2.
YPtI2N PBE-GGA optimized geometry; space-group type = P4/mmm (123); uncorrected energy = -4.25 eV per atom
1.0
6.053 0.000 0.000
0.000 6.053 0.000
0.000 0.000 4.082
Y Pt I N
1 1 2 1
direct
0.000 0.000 0.000 Y
0.500 0.500 0.500 Pt
0.000 0.500 0.000 I
0.500 0.000 0.000 I
0.000 0.000 0.500 N

---

3.
YPtIN2 PBE-GGA optimized geometry; space-group type = P4/mmm (123); uncorrected energy = -5.21 eV per atom
1.0
4.192 0.000 0.000
0.000 4.192 0.000
0.000 0.000 5.288
Y Pt I N
1 1 1 2
direct
0.000 0.000 0.000 Y
0.500 0.500 0.500 Pt
0.500 0.500 0.000 I
0.000 0.500 0.500 N
0.500 0.000 0.500 N

---

The evaluated energy relative to the elements, uncorrected for the records listed, in turn: 0.83 0.53 0.93 eV per atom.